Entry 1:
VASP calculation (PBE) on a geometry-optimized InFeMo2 structure.

Its spin magnetization is 0.00 μB per formula unit. The density of states at the Fermi level comes out at 1.36 states/eV per atom. For the total energy, the calculation gives -0.5565 Ry per atom.

The space group is I-42d (No. 122) and the conventional cell measures 7.237, 7.237 and 5.225 Å, with angles of 90.00, 90.00 and 90.00 degrees. The distinct sites, in fractional coordinates, are In at (0.000, 0.000, 0.000), Fe at (0.000, 0.000, 0.500) and Mo at (0.186, 0.250, 0.625).



Entry 2:
VASP calculation (PBE) on a geometry-optimized InFe2Mo2 structure.

Its spin magnetization is 0.00 μB per formula unit. The density of states at the Fermi level comes out at 0.94 states/eV per atom. For the total energy, the calculation gives -0.5680 Ry per atom.

The space group is I4/mmm (No. 139) and the conventional cell measures 3.859, 3.859 and 10.952 Å, with angles of 90.00, 90.00 and 90.00 degrees. The distinct sites, in fractional coordinates, are In at (0.000, 0.000, 0.000), Fe at (0.000, 0.500, 0.250) and Mo at (0.000, 0.000, 0.378).